Record 1
# Sr3Ca GGA-PBE optimized geometry
# **ΔH_f (0 K)**: 1.1 kJ/mol of atoms
data_Sr3Ca
_chemical_formula_sum 'Sr3 Ca1'
_space_group_name_H-M_alt 'P m -3 m'
_space_group_IT_number 221
_space_group_name_Hall '-P 4 2 3'
_cell_length_a 5.903
_cell_length_b 5.903
_cell_length_c 5.903
_cell_angle_alpha 90.00
_cell_angle_beta 90.00
_cell_angle_gamma 90.00
loop_
_atom_site_label
_atom_site_type_symbol
_atom_site_fract_x
_atom_site_fract_y
_atom_site_fract_z
_atom_site_occupancy
Sr1 Sr 0.000 0.000 0.500 1
Ca1 Ca 0.500 0.500 0.500 1



Record 2
# Sr2Ca GGA-PBE optimized geometry
# **ΔH_f (0 K)**: 1.3 kJ/mol of atoms
# **Polymorph energy (0 for the lowest one)**: 0 meV/atom
data_Sr2Ca
_chemical_formula_sum 'Sr4 Ca2'
_space_group_name_H-M_alt 'I m m m'
_space_group_IT_number 71
_space_group_name_Hall '-I 2 2'
_cell_length_a 4.172
_cell_length_b 5.809
_cell_length_c 12.421
_cell_angle_alpha 90.00
_cell_angle_beta 90.00
_cell_angle_gamma 90.00
loop_
_atom_site_label
_atom_site_type_symbol
_atom_site_fract_x
_atom_site_fract_y
_atom_site_fract_z
_atom_site_occupancy
Sr1 Sr 0.000 0.000 0.164 1
Ca1 Ca 0.000 0.000 0.500 1



Record 3
# Sr2Ca GGA-PBE optimized geometry
# **ΔH_f (0 K)**: 1.7 kJ/mol of atoms
# **Polymorph energy (0 for the lowest one)**: 5 meV/atom
data_Sr2Ca
_chemical_formula_sum 'Sr2 Ca1'
_space_group_name_H-M_alt 'P -3 m 1'
_space_group_IT_number 164
_space_group_name_Hall '-P 3 2"'
_cell_length_a 4.1530
_cell_length_b 4.1530
_cell_length_c 10.0965
_cell_angle_alpha 90.00
_cell_angle_beta 90.00
_cell_angle_gamma 120.00
loop_
_atom_site_label
_atom_site_type_symbol
_atom_site_fract_x
_atom_site_fract_y
_atom_site_fract_z
_atom_site_occupancy
Sr1 Sr 0.3333 0.6667 0.3258 1
Ca1 Ca 0.0000 0.0000 0.0000 1



Record 4
# SrCa GGA-PBE optimized geometry
# **ΔH_f (0 K)**: 2.4 kJ/mol of atoms
# **Polymorph energy (0 for the lowest one)**: 11 meV/atom
data_SrCa
_chemical_formula_sum 'Sr2 Ca2'
_space_group_name_H-M_alt 'P -3 m 1'
_space_group_IT_number 164
_space_group_name_Hall '-P 3 2"'
_cell_length_a 4.0785
_cell_length_b 4.0785
_cell_length_c 13.4388
_cell_angle_alpha 90.00
_cell_angle_beta 90.00
_cell_angle_gamma 120.00
loop_
_atom_site_label
_atom_site_type_symbol
_atom_site_fract_x
_atom_site_fract_y
_atom_site_fract_z
_atom_site_occupancy
Sr1 Sr 0.3333 0.6667 0.1324 1
Ca1 Ca 0.3333 0.6667 0.6177 1



Record 5
# SrCa4 GGA-PBE optimized geometry
# **ΔH_f (0 K)**: 56.7 kJ/mol of atoms
# **Polymorph energy (0 for the lowest one)**: 461 meV/atom
data_SrCa4
_chemical_formula_sum 'Sr2 Ca8'
_space_group_name_H-M_alt 'I m -3 m'
_space_group_IT_number 229
_space_group_name_Hall '-I 4 2 3'
_cell_length_a 8.332
_cell_length_b 8.332
_cell_length_c 8.332
_cell_angle_alpha 90.00
_cell_angle_beta 90.00
_cell_angle_gamma 90.00
loop_
_atom_site_label
_atom_site_type_symbol
_atom_site_fract_x
_atom_site_fract_y
_atom_site_fract_z
_atom_site_occupancy
Sr1 Sr 0.000 0.000 0.000 1
Ca1 Ca 0.250 0.250 0.250 1



Record 6
# SrCa GGA-PBE optimized geometry
# **ΔH_f (0 K)**: 2.5 kJ/mol of atoms
# **Polymorph energy (0 for the lowest one)**: 12 meV/atom
data_SrCa
_chemical_formula_sum 'Sr4 Ca4'
_space_group_name_H-M_alt 'C 1 2/m 1'
_space_group_IT_number 12
_cell_length_a 7.088
_cell_length_b 4.088
_cell_length_c 13.560
_cell_angle_alpha 90.00
_cell_angle_beta 100.11
_cell_angle_gamma 90.00
loop_
_space_group_symop_operation_xyz
'x,y,z'
'-x,-y,-z'
'-x,y,-z'
'x,-y,z'
'x+1/2,y+1/2,z'
'-x+1/2,-y+1/2,-z'
'-x+1/2,y+1/2,-z'
'x+1/2,-y+1/2,z'
loop_
_atom_site_label
_atom_site_type_symbol
_atom_site_fract_x
_atom_site_fract_y
_atom_site_fract_z
_atom_site_occupancy
Sr1 Sr 0.210 0.000 0.133 1
Ca1 Ca 0.127 0.500 0.383 1



Record 7
# SrCa6 GGA-PBE optimized geometry
# **ΔH_f (0 K)**: 2.4 kJ/mol of atoms
# **Polymorph energy (0 for the lowest one)**: 0 meV/atom
data_SrCa6
_chemical_formula_sum 'Sr3 Ca18'
_space_group_name_H-M_alt 'R -3'
_space_group_IT_number 148
_space_group_name_Hall '-R 3'
_cell_length_a 16.5866
_cell_length_b 16.5866
_cell_length_c 3.8306
_cell_angle_alpha 90.00
_cell_angle_beta 90.00
_cell_angle_gamma 120.00
loop_
_atom_site_label
_atom_site_type_symbol
_atom_site_fract_x
_atom_site_fract_y
_atom_site_fract_z
_atom_site_occupancy
Sr1 Sr 0.0000 0.0000 0.0000 1
Ca1 Ca 0.0499 0.8078 0.6501 1



Record 8
# SrCa GGA-PBE optimized geometry
# **ΔH_f (0 K)**: 23.1 kJ/mol of atoms
# **Polymorph energy (0 for the lowest one)**: 226 meV/atom
data_SrCa
_chemical_formula_sum 'Sr2 Ca2'
_space_group_name_H-M_alt 'I m m m'
_space_group_IT_number 71
_space_group_name_Hall '-I 2 2'
_cell_length_a 3.910
_cell_length_b 6.801
_cell_length_c 7.309
_cell_angle_alpha 90.00
_cell_angle_beta 90.00
_cell_angle_gamma 90.00
loop_
_atom_site_label
_atom_site_type_symbol
_atom_site_fract_x
_atom_site_fract_y
_atom_site_fract_z
_atom_site_occupancy
Sr1 Sr 0.000 0.000 0.000 1
Ca1 Ca 0.000 0.000 0.500 1



Record 9
# SrCa GGA-PBE optimized geometry
# **ΔH_f (0 K)**: 1.8 kJ/mol of atoms
# **Polymorph energy (0 for the lowest one)**: 5 meV/atom
data_SrCa
_chemical_formula_sum 'Sr4 Ca4'
_space_group_name_H-M_alt 'C 1 2/m 1'
_space_group_IT_number 12
_cell_length_a 15.060
_cell_length_b 4.128
_cell_length_c 6.975
_cell_angle_alpha 90.00
_cell_angle_beta 116.73
_cell_angle_gamma 90.00
loop_
_space_group_symop_operation_xyz
'x,y,z'
'-x,-y,-z'
'-x,y,-z'
'x,-y,z'
'x+1/2,y+1/2,z'
'-x+1/2,-y+1/2,-z'
'-x+1/2,y+1/2,-z'
'x+1/2,-y+1/2,z'
loop_
_atom_site_label
_atom_site_type_symbol
_atom_site_fract_x
_atom_site_fract_y
_atom_site_fract_z
_atom_site_occupancy
Sr1 Sr 0.121 0.000 0.298 1
Ca1 Ca 0.130 0.500 0.805 1



Record 10
# SrCa GGA-PBE optimized geometry
# **ΔH_f (0 K)**: 1.8 kJ/mol of atoms
# **Polymorph energy (0 for the lowest one)**: 4 meV/atom
data_SrCa
_chemical_formula_sum 'Sr6 Ca6'
_space_group_name_H-M_alt 'C 1 m 1'
_space_group_IT_number 8
_cell_length_a 15.237
_cell_length_b 4.064
_cell_length_c 9.742
_cell_angle_alpha 90.00
_cell_angle_beta 105.91
_cell_angle_gamma 90.00
loop_
_space_group_symop_operation_xyz
'x,y,z'
'x,-y,z'
'x+1/2,y+1/2,z'
'x+1/2,-y+1/2,z'
loop_
_atom_site_label
_atom_site_type_symbol
_atom_site_fract_x
_atom_site_fract_y
_atom_site_fract_z
_atom_site_occupancy
Sr1 Sr 0.000 0.000 0.000 1
Sr2 Sr 0.054 0.000 0.614 1
Sr3 Sr 0.380 0.000 0.277 1
Ca1 Ca 0.164 0.500 0.337 1
Ca2 Ca 0.222 0.500 0.942 1
Ca3 Ca 0.325 0.000 0.666 1